## i
U4S3 PBE optimized geometry; SG = No. 166; DOS(E_F) = 11.769 states/eV/cell; crystal system = trigonal
1.0
1.844 1.065 11.969
-1.844 1.065 11.969
0.000 -2.130 11.969
U S
4 3
Cartesian
0.000 0.000 4.299 U
0.000 0.000 12.683 U
0.000 0.000 23.225 U
0.000 0.000 31.609 U
0.000 0.000 9.371 S
0.000 0.000 17.954 S
0.000 0.000 26.537 S

---

## ii
U4S3 PBE optimized geometry; SG = No. 221; DOS(E_F) = 21.990 states/eV/cell; crystal system = cubic
1.0
5.395 0.000 0.000
0.000 5.395 0.000
0.000 0.000 5.395
U S
4 3
Cartesian
0.000 0.000 0.000 U
0.000 2.697 2.697 U
2.697 0.000 2.697 U
2.697 2.697 0.000 U
0.000 0.000 2.697 S
0.000 2.697 0.000 S
2.697 0.000 0.000 S

---

Most stable pick: i. Distance to second place: 0.161 eV/atom.

---

## i
U2VS6 PBE optimized geometry; SG = No. 136; DOS(E_F) = 22.683 states/eV/cell; crystal system = tetragonal
1.0
6.113 0.000 0.000
0.000 6.113 0.000
0.000 0.000 11.382
U V S
4 2 12
Cartesian
0.000 0.000 1.967 U
0.000 0.000 9.415 U
3.056 3.056 3.724 U
3.056 3.056 7.658 U
0.000 0.000 5.691 V
3.056 3.056 0.000 V
1.188 1.188 3.975 S
1.188 1.188 7.407 S
1.251 1.251 0.000 S
1.806 4.307 5.691 S
1.869 4.244 1.716 S
1.869 4.244 9.665 S
4.244 1.869 1.716 S
4.244 1.869 9.665 S
4.307 1.806 5.691 S
4.862 4.862 0.000 S
4.925 4.925 3.975 S
4.925 4.925 7.407 S

---

## ii
U2VS6 PBE optimized geometry; SG = No. 14; DOS(E_F) = 27.211 states/eV/cell; crystal system = monoclinic
1.0
5.993 0.000 0.000
0.000 6.947 0.000
-5.712 0.000 8.570
U V S
4 2 12
Cartesian
-0.220 0.833 2.067 U
-3.076 2.641 6.352 U
3.357 4.306 2.218 U
0.500 6.114 6.503 U
2.997 0.000 0.000 V
0.140 3.474 4.285 V
-4.724 1.234 8.080 S
-1.867 2.239 3.796 S
-3.630 4.796 8.028 S
-0.774 5.625 3.743 S
-1.918 0.281 6.347 S
0.938 3.193 2.063 S
-0.657 3.755 6.507 S
2.199 6.666 2.222 S
1.054 1.322 4.827 S
3.911 2.151 0.542 S
2.148 4.708 4.774 S
5.004 5.713 0.489 S

---

Most stable pick: ii. Distance to second place: 0.120 eV/atom.

---

## i
ZrUS2 PBE optimized geometry; SG = No. 166; DOS(E_F) = 16.404 states/eV/cell; crystal system = trigonal
1.0
3.804 0.000 0.000
-1.902 3.294 0.000
0.000 0.000 18.245
Zr U S
3 3 6
Cartesian
0.000 0.000 0.000 Zr
0.000 2.196 12.163 Zr
1.902 1.098 6.082 Zr
0.000 0.000 9.122 U
0.000 2.196 3.041 U
1.902 1.098 15.204 U
0.000 0.000 4.618 S
0.000 0.000 13.626 S
0.000 2.196 7.545 S
0.000 2.196 16.781 S
1.902 1.098 1.463 S
1.902 1.098 10.700 S

---

## ii
ZrUS2 PBE optimized geometry; SG = No. 160; DOS(E_F) = 11.920 states/eV/cell; crystal system = trigonal
1.0
3.559 0.000 0.000
-1.779 3.082 0.000
0.000 0.000 21.168
Zr U S
3 3 6
Cartesian
0.000 0.000 0.000 Zr
0.000 2.055 14.112 Zr
1.779 1.027 7.056 Zr
0.000 0.000 3.635 U
0.000 2.055 17.747 U
1.779 1.027 10.691 U
0.000 0.000 12.523 S
0.000 0.000 15.832 S
0.000 2.055 5.467 S
0.000 2.055 8.776 S
1.779 1.027 1.720 S
1.779 1.027 19.579 S

---

Most stable pick: i. Distance to second place: 0.055 eV/atom.

---

## i
ZrUS3 PBE optimized geometry; SG = No. 36; DOS(E_F) = 11.196 states/eV/cell; crystal system = orthorhombic
1.0
1.905 -9.811 0.000
1.905 9.811 0.000
0.000 0.000 6.579
Zr U S
2 2 6
Cartesian
1.905 6.534 3.290 Zr
1.905 -6.534 0.000 Zr
1.905 3.208 3.281 U
1.905 -3.208 6.570 U
1.905 8.004 1.183 S
1.905 4.896 5.459 S
1.905 1.883 0.991 S
1.905 -1.883 4.281 S
1.905 -4.896 2.170 S
1.905 -8.004 4.472 S

---

## ii
ZrUS3 PBE optimized geometry; SG = No. 62; DOS(E_F) = 23.652 states/eV/cell; crystal system = orthorhombic
1.0
7.173 0.000 0.000
0.000 3.761 0.000
0.000 0.000 14.421
Zr U S
4 4 12
Cartesian
1.768 0.940 0.702 Zr
1.819 2.821 7.912 Zr
5.354 0.940 6.509 Zr
5.405 2.821 13.719 Zr
0.823 2.821 4.271 U
2.763 0.940 11.481 U
4.410 2.821 2.940 U
6.349 0.940 10.150 U
0.044 2.821 1.465 S
0.864 0.940 6.296 S
1.136 2.821 10.437 S
2.450 0.940 3.227 S
2.722 2.821 13.506 S
3.542 0.940 8.676 S
3.630 2.821 5.745 S
4.450 0.940 0.915 S
4.722 2.821 11.194 S
6.037 0.940 3.984 S
6.309 2.821 8.125 S
7.129 0.940 12.955 S

---

Most stable pick: ii. Distance to second place: 0.111 eV/atom.

---

## i
ZrU2S5 PBE optimized geometry; SG = No. 63; DOS(E_F) = 24.561 states/eV/cell; crystal system = orthorhombic
1.0
2.660 -6.193 0.000
2.660 6.193 0.000
0.000 0.000 12.503
Zr U S
2 4 10
Cartesian
2.660 3.529 9.377 Zr
2.660 -3.529 3.126 Zr
2.660 4.302 0.773 U
2.660 4.302 5.478 U
2.660 -4.302 7.024 U
2.660 -4.302 11.730 U
2.660 5.562 7.803 S
2.660 5.562 10.951 S
2.660 2.918 3.126 S
2.660 2.072 7.158 S
2.660 2.072 11.596 S
2.660 -2.072 0.906 S
2.660 -2.072 5.345 S
2.660 -2.918 9.377 S
2.660 -5.562 1.551 S
2.660 -5.562 4.700 S

---

## ii
ZrU2S5 PBE optimized geometry; SG = No. 62; DOS(E_F) = 49.605 states/eV/cell; crystal system = orthorhombic
1.0
11.453 0.000 0.000
0.000 7.744 0.000
0.000 0.000 7.250
Zr U S
4 8 20
Cartesian
0.056 1.936 0.587 Zr
5.671 5.808 4.212 Zr
5.782 1.936 3.038 Zr
11.397 5.808 6.664 Zr
2.054 3.882 3.841 U
2.054 7.734 3.841 U
3.672 0.010 0.216 U
3.672 3.862 0.216 U
7.781 3.882 7.035 U
7.781 7.734 7.035 U
9.398 0.010 3.410 U
9.398 3.862 3.410 U
0.017 1.936 3.303 S
1.057 4.187 1.211 S
1.057 7.429 1.211 S
2.104 1.936 6.053 S
2.435 5.808 5.882 S
3.291 1.936 2.257 S
3.623 5.808 2.428 S
4.669 0.315 4.836 S
4.669 3.557 4.836 S
5.709 5.808 6.928 S
5.743 1.936 0.322 S
6.783 4.187 2.414 S
6.783 7.429 2.414 S
7.830 1.936 4.823 S
8.162 5.808 4.994 S
9.018 1.936 1.368 S
9.349 5.808 1.197 S
10.396 0.315 6.039 S
10.396 3.557 6.039 S
11.436 5.808 3.947 S

---

Most stable pick: ii. Distance to second place: 0.089 eV/atom.

---

## i
ZrU2S6 PBE optimized geometry; SG = No. 12; DOS(E_F) = 12.992 states/eV/cell; crystal system = monoclinic
1.0
6.709 -2.540 0.000
6.709 2.540 0.000
-5.272 0.000 6.607
Zr U S
1 2 6
Cartesian
0.000 0.000 0.000 Zr
-0.759 0.000 4.069 U
8.905 0.000 2.538 U
-3.287 0.000 4.881 S
1.409 0.000 2.352 S
0.008 0.000 6.462 S
8.137 0.000 0.145 S
6.737 0.000 4.255 S
11.432 0.000 1.726 S

---

## ii
ZrU2S6 PBE optimized geometry; SG = No. 12; DOS(E_F) = 10.128 states/eV/cell; crystal system = monoclinic
1.0
8.662 -1.952 0.000
8.662 1.952 0.000
-2.167 0.000 7.734
Zr U S
1 2 6
Cartesian
0.000 0.000 0.000 Zr
4.368 0.000 5.219 U
10.791 0.000 2.515 U
2.475 0.000 0.717 S
1.828 0.000 4.321 S
6.903 0.000 6.032 S
8.255 0.000 1.702 S
13.330 0.000 3.412 S
12.683 0.000 7.017 S

---

Most stable pick: ii. Distance to second place: 0.226 eV/atom.